## LiAg3 (PBE)

Data for a relaxed structure of LiAg3.

abc: 4.099 2.921 6.359
angles: 64.51 90.00 90.00
Fractional coordinates of all 4 atoms:
1 Ag 0.000 0.004 0.006
2 Ag 0.500 0.750 0.750
3 Ag 0.000 0.496 0.494
4 Li 0.500 0.250 0.250

Output
**Formation energy**: -0.1154 eV/atom